# 1
Computed, not measured: a geometry-optimized LaCu2Re structure at the GGA-PBE level of DFT.

Unit cell a=5.1730 b=5.1730 c=5.1730 alpha=133.62 beta=133.62 gamma=67.68
With the nearest neighbours (Å) after each atom.
Element x y z (fractional)
La 0.0000 0.0000 0.0000  8 Cu 2.88-2.96, 4 Re 2.96
Cu 0.5000 0.5000 0.0000  4 La 2.88, 4 Re 2.96, 4 Cu 2.96
Cu 0.7500 0.2500 0.5000  4 Re 2.88, 4 La 2.96, 4 Cu 2.96
Re 0.2500 0.7500 0.5000  8 Cu 2.88-2.96, 4 La 2.96

Values from the calculation:
Fermi-level density of states = 2.29 states/eV/cell
DFT formation energy = 567 meV/atom
Energy above the most stable polymorph in this dataset = 0.197 eV per atom
Calculated total energy = -23.30 eV for the cell shown
SG = I-4m2



# 2
Computed, not measured: a geometry-optimized BPRhAu structure at the GGA-PBE level of DFT.

Unit cell a=3.0673 b=3.3874 c=6.0342 alpha=90.00 beta=104.74 gamma=90.00
With the nearest neighbours (Å) after each atom.
Element x y z (fractional)
B 0.0000 0.0000 0.0000  2 P 1.95
P 0.6024 0.0000 0.2060  2 B 1.95
Rh 0.4636 0.5000 0.9237  4 B 2.32-2.33, 2 P 2.36
Au 0.8046 0.0000 0.6098  1 B 2.28, 1 P 2.36

Values from the calculation:
Fermi-level density of states = 1.18 states/eV/cell
DFT formation energy = -54 meV/atom
Energy above the most stable polymorph in this dataset = 0.000 eV per atom
Calculated total energy = -22.93 eV for the cell shown
SG = Pm



# 3
Computed, not measured: a geometry-optimized K2BaCeF8 structure at the GGA-PBE level of DFT.

Unit cell a=7.3116 b=7.3116 c=7.3116 alpha=130.90 beta=130.90 gamma=71.97
With the nearest neighbours (Å) after each atom.
Element x y z (fractional)
K 0.0000 0.0000 0.0000  8 F 2.72
K 0.7500 0.2500 0.5000  8 F 2.76
Ba 0.5000 0.5000 0.0000  8 F 2.69
Ce 0.2500 0.7500 0.5000  8 F 2.31
F 0.1466 0.0844 0.5050  1 Ce 2.31
F 0.1466 0.6416 0.0621  1 Ce 2.31
F 0.3584 0.4206 0.5050  1 Ce 2.31
F 0.3584 0.8534 0.9379  1 Ce 2.31
F 0.5794 0.0844 0.9379  1 Ce 2.31
F 0.5794 0.6416 0.4950  1 Ce 2.31
F 0.9156 0.4206 0.0621  1 Ce 2.31
F 0.9156 0.8534 0.4950  1 Ce 2.31

Values from the calculation:
Fermi-level density of states = 0.00 states/eV/cell
Calculated total energy = -67.31 eV for the cell shown
SG = I-4m2
Uncorrected formation energy = -3.524 eV/atom



# 4
Computed, not measured: a geometry-optimized Ba3PbO4 structure at the GGA-PBE level of DFT.

Unit cell a=5.5814 b=5.5814 c=11.1519 alpha=90.20 beta=90.20 gamma=90.55
With the nearest neighbours (Å) after each atom.
Element x y z (fractional)
Ba 0.2477 0.7523 0.0000  6 O 2.79-2.90
Ba 0.2489 0.2489 0.7483  5 O 2.54-2.84
Ba 0.2494 0.7506 0.5000  6 O 2.75-2.81
Ba 0.7506 0.2494 0.5000  6 O 2.75-2.81
Ba 0.7511 0.7511 0.2517  5 O 2.54-2.84
Ba 0.7523 0.2477 0.0000  6 O 2.79-2.90
Pb 0.2358 0.2358 0.2640  3 O 2.25-2.51
Pb 0.7642 0.7642 0.7360  3 O 2.25-2.51
O 0.1668 0.7506 0.7433  1 Pb 2.25
O 0.2483 0.2483 0.4889  1 Pb 2.51, 4 Ba 2.78-2.81
O 0.2494 0.8332 0.2567  1 Pb 2.25
O 0.2498 0.2498 0.9764  5 Ba 2.54-2.82
O 0.7502 0.7502 0.0236  5 Ba 2.54-2.82
O 0.7506 0.1668 0.7433  1 Pb 2.25
O 0.7517 0.7517 0.5111  1 Pb 2.51, 4 Ba 2.78-2.81
O 0.8332 0.2494 0.2567  1 Pb 2.25

Values from the calculation:
Fermi-level density of states = 0.00 states/eV/cell
Energy above the most stable polymorph in this dataset = 0.000 eV per atom
Calculated total energy = -93.22 eV for the cell shown
SG = C2/m
Uncorrected formation energy = -2.163 eV/atom



# 5
Computed, not measured: a geometry-optimized Rb2H3Pd2 structure at the GGA-PBE level of DFT.

Unit cell a=3.0791 b=6.3975 c=6.6586 alpha=79.52 beta=79.47 gamma=83.71
With the nearest neighbours (Å) after each atom.
Element x y z (fractional)
Rb 0.2220 0.2057 0.2088  4 H 2.84-3.17, 2 Rb 3.08
Rb 0.7780 0.7943 0.7912  4 H 2.84-3.17, 2 Rb 3.08
H 0.0000 0.5000 0.5000  2 Pd 1.80
H 0.1793 0.7664 0.2025  2 Pd 1.79-1.84
H 0.8207 0.2336 0.7975  2 Pd 1.79-1.84
Pd 0.3383 0.3357 0.6713  3 H 1.79-1.84
Pd 0.6617 0.6643 0.3287  3 H 1.79-1.84

Values from the calculation:
Fermi-level density of states = 1.06 states/eV/cell
Energy above the most stable polymorph in this dataset = 0.028 eV per atom
Calculated total energy = -23.27 eV for the cell shown
SG = P-1



# 6
Computed, not measured: a geometry-optimized SrGa3S structure at the GGA-PBE level of DFT.

Unit cell a=5.8244 b=5.8244 c=5.8244 alpha=90.00 beta=90.00 gamma=90.00
With the nearest neighbours (Å) after each atom.
Element x y z (fractional)
Sr 0.0000 0.0000 0.0000  6 Ga 2.91
Ga 0.0000 0.0000 0.5000  2 Sr 2.91
Ga 0.0000 0.5000 0.0000  2 Sr 2.91
Ga 0.5000 0.0000 0.0000  2 Sr 2.91
S 0.5000 0.5000 0.5000  12 Ga 4.12

Values from the calculation:
Fermi-level density of states = 5.20 states/eV/cell
Energy above the most stable polymorph in this dataset = 1.008 eV per atom
Calculated total energy = -9.88 eV for the cell shown
SG = Pm-3m
Uncorrected formation energy = 1.003 eV/atom



# 7
Computed, not measured: a geometry-optimized SmGa2PdPt2 structure at the GGA-PBE level of DFT.

Unit cell a=4.3786 b=4.3786 c=6.6083 alpha=90.00 beta=90.00 gamma=120.00
With the nearest neighbours (Å) after each atom.
Element x y z (fractional)
Sm 0.0000 0.0000 0.0000  6 Pt 3.13, 6 Ga 3.29, 2 Pd 3.30
Ga 0.3333 0.6667 0.3181  4 Pt 2.54-2.66, 3 Pd 2.80
Ga 0.6667 0.3333 0.6819  4 Pt 2.54-2.66, 3 Pd 2.80
Pd 0.0000 0.0000 0.5000  6 Ga 2.80, 6 Pt 2.92
Pt 0.3333 0.6667 0.7213  4 Ga 2.54-2.66
Pt 0.6667 0.3333 0.2787  4 Ga 2.54-2.66

Values from the calculation:
Fermi-level density of states = 2.82 states/eV/cell
DFT formation energy = -929 meV/atom
Calculated total energy = -33.62 eV for the cell shown
SG = P-3m1



# 8
Computed, not measured: a geometry-optimized Pr2TmTe structure at the GGA-PBE level of DFT.

Unit cell a=10.2424 b=10.2424 c=10.2424 alpha=22.56 beta=22.56 gamma=22.56
With the nearest neighbours (Å) after each atom.
Element x y z (fractional)
Pr 0.2400 0.2400 0.2400  3 Te 3.19
Pr 0.7600 0.7600 0.7600  3 Te 3.19
Tm 0.0000 0.0000 0.0000  6 Pr 3.63, 6 Tm 4.01
Te 0.5000 0.5000 0.5000  6 Pr 3.19

Values from the calculation:
Fermi-level density of states = 4.46 states/eV/cell
Energy above the most stable polymorph in this dataset = 0.069 eV per atom
Calculated total energy = -19.21 eV for the cell shown
SG = R-3m
Uncorrected formation energy = -0.510 eV/atom